Record 1
Compound: Ca2In5Ag2Pd
Source: Alexandria
Functional: PBE
Structure: relaxed

Values from the calculation:
Uncorrected energy = -3.1524 eV/atom
Energy relative to the elements = -2.93 eV per formula unit
Spin magnetization = 0.00 μB per formula unit

Cell: 10.515 10.515 4.286 Å, 90.00 90.00 90.00°
Space group P4/mbm (No. 127)
Symmetry-distinct sites (fractional):
1 Ca 0.176 0.324 0.000 [4 per cell]
2 In 0.000 0.500 0.500 [2 per cell]
3 In 0.060 0.808 0.500 [8 per cell]
4 Ag 0.125 0.625 0.000 [4 per cell]
5 Pd 0.000 0.000 0.000 [2 per cell]



Record 2
Compound: Rb2HgAuO
Source: Alexandria
Functional: PBE
Structure: relaxed

Values from the calculation:
Uncorrected energy = -2.6196 eV/atom
Raw formation energy = -0.5251 eV/atom
E above lowest polymorph = 51 meV per atom
Spin magnetization = 0.00 μB per formula unit

Cell: 5.882 5.882 4.573 Å, 90.00 90.00 90.00°
Space group P4/mmm (No. 123)
Symmetry-distinct sites (fractional):
1 Rb 0.000 0.500 0.000 [2 per cell]
2 Hg 0.000 0.000 0.500 [1 per cell]
3 Au 0.500 0.500 0.500 [1 per cell]
4 O 0.000 0.000 0.000 [1 per cell]